# SiAg2Au | Alexandria | PBE | optimized geometry
# V	69.5	Å³ per cell
# DFT total energy	-13.82	eV per cell
# ΔE_f (raw)	146.7	meV/atom
# spin magnetization	0.000	Bohr magnetons per cell
# SG	Pmm2
data_SiAg2Au
_cell_length_a 3.012
_cell_length_b 3.834
_cell_length_c 6.014
_cell_angle_alpha 90.00
_cell_angle_beta 90.00
_cell_angle_gamma 90.00
_symmetry_space_group_name_H-M 'P 1'
_symmetry_Int_Tables_number 1
loop_
_symmetry_equiv_pos_as_xyz
'x,y,z'
loop_
_atom_site_label
_atom_site_fract_x
_atom_site_fract_y
_atom_site_fract_z
Si1 0.000 0.000 0.000
Ag1 0.000 0.000 0.514
Ag2 0.500 0.500 0.263
Au1 0.500 0.500 0.786